1.
First-principles (PBE) data for crystalline MgTaNbTe at its relaxed geometry, as listed in OQMD.

Unit cell a=6.7536 b=6.7536 c=6.7536 alpha=90.00 beta=90.00 gamma=90.00
Closest atoms and distances in Å follow each position.
Space group F-43m (No. 216)
Unique sites:
Mg 0.0000 0.0000 0.0000  4 Ta 2.92, 4 Nb 2.92
Ta 0.2500 0.2500 0.7500  4 Te 2.92, 4 Mg 2.92
Nb 0.2500 0.2500 0.2500  4 Te 2.92, 4 Mg 2.92
Te 0.0000 0.0000 0.5000  4 Nb 2.92, 4 Ta 2.92

Computed properties:
M_tot ... 0.01 μB per formula unit
E ... -6.1782 eV/atom



2.
First-principles (PBE) data for crystalline MgTaNbTe at its relaxed geometry, as listed in OQMD.

Unit cell a=6.7474 b=6.7474 c=6.7474 alpha=90.00 beta=90.00 gamma=90.00
Closest atoms and distances in Å follow each position.
Space group F-43m (No. 216)
Unique sites:
Mg 0.0000 0.0000 0.0000  4 Ta 2.92, 4 Te 2.92
Ta 0.2500 0.2500 0.7500  4 Nb 2.92, 4 Mg 2.92
Nb 0.0000 0.0000 0.5000  4 Ta 2.92, 4 Te 2.92
Te 0.2500 0.2500 0.2500  4 Nb 2.92, 4 Mg 2.92

Computed properties:
M_tot ... 0.00 μB per formula unit
E ... -6.3145 eV/atom



3.
First-principles (PBE) data for crystalline MgTaNbW at its relaxed geometry, as listed in OQMD.

Unit cell a=6.5707 b=6.5707 c=6.5707 alpha=90.00 beta=90.00 gamma=90.00
Closest atoms and distances in Å follow each position.
Space group F-43m (No. 216)
Unique sites:
Mg 0.0000 0.0000 0.0000  4 Nb 2.85, 4 Ta 2.85
Ta 0.2500 0.2500 0.2500  4 Mg 2.85, 4 W 2.85
Nb 0.2500 0.2500 0.7500  4 W 2.85, 4 Mg 2.85
W 0.0000 0.0000 0.5000  4 Ta 2.85, 4 Nb 2.85

Computed properties:
M_tot ... 0.00 μB per formula unit
E ... -8.8660 eV/atom



4.
First-principles (PBE) data for crystalline TbMgNb at its relaxed geometry, as listed in OQMD.

Unit cell a=6.8023 b=6.8023 c=6.8023 alpha=90.00 beta=90.00 gamma=90.00
Closest atoms and distances in Å follow each position.
Space group F-43m (No. 216)
Unique sites:
Tb 0.0000 0.0000 0.0000  4 Mg 2.95
Mg 0.2500 0.2500 0.7500  4 Nb 2.95, 4 Tb 2.95
Nb 0.0000 0.0000 0.5000  4 Mg 2.95

Computed properties:
M_tot ... 0.66 μB per formula unit
E ... -4.4727 eV/atom



5.
First-principles (PBE) data for crystalline MgZrNbTc at its relaxed geometry, as listed in OQMD.

Unit cell a=6.6302 b=6.6302 c=6.6302 alpha=90.00 beta=90.00 gamma=90.00
Closest atoms and distances in Å follow each position.
Space group F-43m (No. 216)
Unique sites:
Mg 0.0000 0.0000 0.0000  4 Zr 2.87, 4 Nb 2.87
Zr 0.2500 0.2500 0.7500  4 Tc 2.87, 4 Mg 2.87
Nb 0.2500 0.2500 0.2500  4 Tc 2.87, 4 Mg 2.87
Tc 0.0000 0.0000 0.5000  4 Zr 2.87, 4 Nb 2.87

Computed properties:
M_tot ... 0.01 μB per formula unit
E ... -7.6309 eV/atom



6.
First-principles (PBE) data for crystalline MgZrNbTc at its relaxed geometry, as listed in OQMD.

Unit cell a=6.6052 b=6.6052 c=6.6052 alpha=90.00 beta=90.00 gamma=90.00
Closest atoms and distances in Å follow each position.
Space group F-43m (No. 216)
Unique sites:
Mg 0.0000 0.0000 0.0000  4 Tc 2.86, 4 Zr 2.86
Zr 0.2500 0.2500 0.7500  4 Nb 2.86, 4 Mg 2.86
Nb 0.0000 0.0000 0.5000  4 Zr 2.86, 4 Tc 2.86
Tc 0.2500 0.2500 0.2500  4 Nb 2.86, 4 Mg 2.86

Computed properties:
M_tot ... 0.00 μB per formula unit
E ... -7.5373 eV/atom



7.
First-principles (PBE) data for crystalline MgNbTlTe3 at its relaxed geometry, as listed in OQMD.

Unit cell a=4.0715 b=15.6562 c=10.9984 alpha=90.00 beta=90.00 gamma=90.00
Closest atoms and distances in Å follow each position.
Space group Cmcm (No. 63)
Unique sites:
Mg 0.0000 0.0461 0.2500  4 Te 2.75-2.76
Nb 0.0000 0.5000 0.0000  6 Te 2.93-2.98
Tl 0.0000 0.2556 0.7500  8 Te 3.51-3.66, 2 Mg 3.71
Te 0.0000 0.1323 0.0325  1 Mg 2.75, 2 Nb 2.93
Te 0.0000 0.4267 0.2500  2 Mg 2.76, 2 Nb 2.98

Computed properties:
M_tot ... 1.98 μB per formula unit
E ... -4.2721 eV/atom



8.
First-principles (PBE) data for crystalline MgNbTlTe3 at its relaxed geometry, as listed in OQMD.

Unit cell a=8.5453 b=4.0503 c=11.2038 alpha=90.00 beta=111.29 gamma=90.00
Closest atoms and distances in Å follow each position.
Space group P2_1/m (No. 11)
Unique sites:
Mg 0.0698 0.2500 0.1251  4 Te 2.76-2.86
Nb 0.3004 0.7500 0.3443  6 Te 2.87-2.99
Tl 0.2812 0.2500 0.7877  7 Te 3.40-3.79
Te 0.0733 0.2500 0.3723  1 Mg 2.76, 2 Nb 2.90
Te 0.2592 0.7500 0.0673  3 Mg 2.81-2.86, 1 Nb 2.99
Te 0.4448 0.7500 0.6192  3 Nb 2.87-2.89

Computed properties:
M_tot ... 1.80 μB per formula unit
E ... -4.2771 eV/atom



9.
First-principles (PBE) data for crystalline MgNbTl at its relaxed geometry, as listed in OQMD.

Unit cell a=6.6303 b=6.6303 c=6.6303 alpha=90.00 beta=90.00 gamma=90.00
Closest atoms and distances in Å follow each position.
Space group F-43m (No. 216)
Unique sites:
Mg 0.0000 0.0000 0.0000  4 Tl 2.87
Nb 0.0000 0.0000 0.5000  4 Tl 2.87
Tl 0.2500 0.2500 0.2500  4 Nb 2.87, 4 Mg 2.87

Computed properties:
M_tot ... 1.86 μB per formula unit
E ... -3.9184 eV/atom



10.
First-principles (PBE) data for crystalline MgUNb at its relaxed geometry, as listed in OQMD.

Unit cell a=6.6161 b=6.6161 c=6.6161 alpha=90.00 beta=90.00 gamma=90.00
Closest atoms and distances in Å follow each position.
Space group F-43m (No. 216)
Unique sites:
Mg 0.0000 0.0000 0.0000  4 U 2.86
U 0.2500 0.2500 0.2500  4 Nb 2.86, 4 Mg 2.86
Nb 0.0000 0.0000 0.5000  4 U 2.86

Computed properties:
M_tot ... 0.66 μB per formula unit
E ... -6.1135 eV/atom



11.
First-principles (PBE) data for crystalline MgUNb at its relaxed geometry, as listed in OQMD.

Unit cell a=6.5386 b=6.5386 c=6.5386 alpha=90.00 beta=90.00 gamma=90.00
Closest atoms and distances in Å follow each position.
Space group F-43m (No. 216)
Unique sites:
Mg 0.0000 0.0000 0.0000  4 Nb 2.83
U 0.0000 0.0000 0.5000  4 Nb 2.83
Nb 0.2500 0.2500 0.2500  4 U 2.83, 4 Mg 2.83

Computed properties:
M_tot ... 0.58 μB per formula unit
E ... -6.6304 eV/atom



12.
First-principles (PBE) data for crystalline MgNbW at its relaxed geometry, as listed in OQMD.

Unit cell a=6.3343 b=6.3343 c=6.3343 alpha=90.00 beta=90.00 gamma=90.00
Closest atoms and distances in Å follow each position.
Space group F-43m (No. 216)
Unique sites:
Mg 0.0000 0.0000 0.0000  4 W 2.74
Nb 0.0000 0.0000 0.5000  4 W 2.74
W 0.2500 0.2500 0.2500  4 Nb 2.74, 4 Mg 2.74

Computed properties:
M_tot ... 0.01 μB per formula unit
E ... -7.0612 eV/atom



13.
First-principles (PBE) data for crystalline YMg2Nb at its relaxed geometry, as listed in OQMD.

Unit cell a=7.1765 b=7.1765 c=7.1765 alpha=90.00 beta=90.00 gamma=90.00
Closest atoms and distances in Å follow each position.
Space group F-43m (No. 216)
Unique sites:
Y 0.0000 0.0000 0.0000  4 Mg 3.11, 4 Nb 3.11
Mg 0.0000 0.0000 0.5000  4 Nb 3.11, 4 Mg 3.11
Mg 0.2500 0.2500 0.2500  4 Mg 3.11, 4 Y 3.11
Nb 0.2500 0.2500 0.7500  4 Mg 3.11, 4 Y 3.11

Computed properties:
M_tot ... 3.03 μB per formula unit
E ... -4.5396 eV/atom



14.
First-principles (PBE) data for crystalline Mg4NbZn2 at its relaxed geometry, as listed in OQMD.

Unit cell a=9.1756 b=9.1756 c=4.5321 alpha=90.00 beta=90.00 gamma=90.00
Closest atoms and distances in Å follow each position.
Space group I4/mmm (No. 139)
Unique sites:
Mg 0.0000 0.2308 0.0000  2 Zn 2.72, 2 Mg 3.00
Nb 0.0000 0.0000 0.5000  8 Mg 3.10
Zn 0.0000 0.5000 0.2500  2 Zn 2.27

Computed properties:
M_tot ... 2.96 μB per formula unit
E ... -1.9777 eV/atom



15.
First-principles (PBE) data for crystalline Mg2ZrNb at its relaxed geometry, as listed in OQMD.

Unit cell a=6.9211 b=6.9211 c=6.9211 alpha=90.00 beta=90.00 gamma=90.00
Closest atoms and distances in Å follow each position.
Space group F-43m (No. 216)
Unique sites:
Mg 0.0000 0.0000 0.0000  4 Mg 3.00, 4 Nb 3.00
Mg 0.2500 0.2500 0.2500  4 Zr 3.00, 4 Mg 3.00
Zr 0.0000 0.0000 0.5000  4 Nb 3.00, 4 Mg 3.00
Nb 0.2500 0.2500 0.7500  4 Zr 3.00, 4 Mg 3.00

Computed properties:
M_tot ... 2.44 μB per formula unit
E ... -5.0739 eV/atom



16.
First-principles (PBE) data for crystalline Nd3Mg4 at its relaxed geometry, as listed in OQMD.

Unit cell a=9.2048 b=9.2048 c=5.4878 alpha=90.00 beta=90.00 gamma=120.00
Closest atoms and distances in Å follow each position.
Space group P6_3/m (No. 176)
Unique sites:
Nd 0.0726 0.2634 0.2500  5 Mg 3.26-3.46, 4 Nd 3.50
Mg 0.1060 0.4952 0.7500  7 Mg 3.27-3.54, 4 Nd 3.36-3.46
Mg 0.3333 0.6667 0.2500  3 Nd 3.26, 9 Mg 3.33-3.54

Computed properties:
M_tot ... 0.00 μB per formula unit
E ... -2.9291 eV/atom



17.
First-principles (PBE) data for crystalline Nd3Mg4 at its relaxed geometry, as listed in OQMD.

Unit cell a=9.2870 b=9.2870 c=5.4032 alpha=90.00 beta=90.00 gamma=120.00
Closest atoms and distances in Å follow each position.
Space group P6_3/m (No. 176)
Unique sites:
Nd 0.0952 0.6332 0.2500  8 Mg 3.36-3.73, 4 Nd 3.49-3.59
Mg 0.0464 0.8203 0.7500  7 Mg 3.32-3.60, 4 Nd 3.36-3.40
Mg 0.3333 0.6667 0.7500  9 Nd 3.41-3.54, 3 Mg 3.60

Computed properties:
M_tot ... 0.01 μB per formula unit
E ... -2.9417 eV/atom



18.
First-principles (PBE) data for crystalline Nd5Mg at its relaxed geometry, as listed in OQMD.

Unit cell a=6.6253 b=6.6253 c=5.8475 alpha=90.00 beta=90.00 gamma=120.00
Closest atoms and distances in Å follow each position.
Space group P6/mmm (No. 191)
Unique sites:
Nd 0.0000 0.5000 0.0000  8 Nd 3.31-3.49
Nd 0.3333 0.6667 0.5000  9 Nd 3.49-3.83, 3 Mg 3.83
Mg 0.0000 0.0000 0.5000  6 Nd 3.83

Computed properties:
M_tot ... 0.87 μB per formula unit
E ... -3.8024 eV/atom



19.
First-principles (PBE) data for crystalline NdMg5Ni at its relaxed geometry, as listed in OQMD.

Unit cell a=4.4887 b=10.0030 c=13.7809 alpha=90.00 beta=90.00 gamma=90.00
Closest atoms and distances in Å follow each position.
Space group Cmcm (No. 63)
Unique sites:
Nd 0.0000 0.1097 0.2500  3 Ni 2.84-3.11
Mg 0.0000 0.0000 0.0000  10 Mg 3.12-3.23
Mg 0.0000 0.2932 0.5764  1 Ni 2.67
Mg 0.0000 0.4030 0.1413  2 Ni 2.81, 5 Mg 3.00-3.13
Ni 0.0000 0.1747 0.7500  6 Mg 2.67-2.81, 1 Nd 2.84

Computed properties:
M_tot ... 0.01 μB per formula unit
E ... -2.7267 eV/atom



20.
First-principles (PBE) data for crystalline Nd2MgNi9 at its relaxed geometry, as listed in OQMD.

Unit cell a=4.9555 b=4.9555 c=24.7470 alpha=90.00 beta=90.00 gamma=120.00
Closest atoms and distances in Å follow each position.
Space group R-3m (No. 166, hexagonal axes)
Unique sites:
Nd 0.0000 0.0000 0.1357  9 Ni 2.85-2.96
Mg 0.0000 0.0000 0.0000  18 Ni 2.86-3.16
Ni 0.0000 0.0000 0.3328  6 Ni 2.42-2.44
Ni 0.0000 0.0000 0.5000  6 Ni 2.59
Ni 0.0003 0.5001 0.0792  7 Ni 2.42-2.59

Computed properties:
M_tot ... 1.72 μB per formula unit
E ... -5.3180 eV/atom



21.
First-principles (PBE) data for crystalline NdMgNi at its relaxed geometry, as listed in OQMD.

Unit cell a=6.6122 b=6.6122 c=6.6122 alpha=90.00 beta=90.00 gamma=90.00
Closest atoms and distances in Å follow each position.
Space group F-43m (No. 216)
Unique sites:
Nd 0.0000 0.0000 0.0000  4 Ni 2.86
Mg 0.0000 0.0000 0.5000  4 Ni 2.86
Ni 0.2500 0.2500 0.7500  4 Mg 2.86, 4 Nd 2.86

Computed properties:
M_tot ... 0.00 μB per formula unit
E ... -4.0825 eV/atom



22.
First-principles (PBE) data for crystalline Nd2Mg4NiPt at its relaxed geometry, as listed in OQMD.

Unit cell a=8.2440 b=4.2370 c=10.3228 alpha=90.00 beta=90.00 gamma=90.00
Closest atoms and distances in Å follow each position.
Space group Amm2 (No. 38)
Unique sites:
Nd 0.0000 0.0000 0.0000  3 Ni 2.98-3.04
Nd 0.5000 0.0000 0.1217  3 Pt 3.00-3.03
Mg 0.1915 0.0000 0.7122  2 Ni 2.76, 1 Pt 2.82, 2 Mg 3.06
Mg 0.3003 0.0000 0.4069  1 Ni 2.76, 2 Pt 2.79, 2 Mg 3.06
Ni 0.0000 0.0000 0.2882  6 Mg 2.76, 3 Nd 2.98-3.04
Pt 0.5000 0.0000 0.8310  6 Mg 2.79-2.82, 3 Nd 3.00-3.03

Computed properties:
M_tot ... 0.00 μB per formula unit
E ... -3.8824 eV/atom



23.
First-principles (PBE) data for crystalline NdMgO3 at its relaxed geometry, as listed in OQMD.

Unit cell a=5.7715 b=7.7505 c=5.3830 alpha=90.00 beta=90.00 gamma=90.00
Closest atoms and distances in Å follow each position.
Space group Pnma (No. 62)
Unique sites:
Nd 0.0690 0.2500 0.0199  6 O 2.35-2.56
Mg 0.0000 0.0000 0.5000  6 O 2.02-2.06
O 0.0321 0.7500 0.4030  2 Mg 2.02
O 0.2007 0.5502 0.8082  2 Mg 2.05-2.06

Computed properties:
M_tot ... 1.00 μB per formula unit
E ... -6.8326 eV/atom



24.
First-principles (PBE) data for crystalline NdMgO3 at its relaxed geometry, as listed in OQMD.

Unit cell a=5.6331 b=8.4475 c=5.8537 alpha=90.00 beta=90.00 gamma=90.00
Closest atoms and distances in Å follow each position.
Space group Pnma (No. 62)
Unique sites:
Nd 0.0000 0.0000 0.0000  6 O 2.38-2.40
Mg 0.0227 0.2500 0.4417  4 O 1.97-2.00
O 0.1082 0.5740 0.3777  1 Mg 1.97
O 0.1329 0.7500 0.8648  2 Mg 1.99-2.00

Computed properties:
M_tot ... 1.00 μB per formula unit
E ... -6.7375 eV/atom